ZnIn2I4 | PBE | optimized geometry

Summary:
- formation energy from raw total energies (eV/atom) = -0.495
- density (g/cm3) = 4.7
- electronic total energy (eV per cell) = -16.42
- polymorph energy (0 for the lowest one) (meV per atom) = 0

abc: 8.4504 8.4504 7.1507
angles: 126.22 125.82 90.27
Sites, in units of the cell vectors:
I 0.6916 0.0482 0.7398
I 0.0441 0.6913 0.7354
I 0.0939 0.0955 0.5448
I 0.4493 0.4509 0.5448
In 0.0795 0.5748 0.1475
In 0.5727 0.0680 0.1475
Zn 0.0690 0.0715 0.1405